# 1
{"formula": "LaGdZn2", "functional": "PBE-GGA", "state": "relaxed", "cell": [[3.675, 0.000, 0.000], [0.000, 3.675, 0.000], [0.000, 0.000, 7.407]], "species": ["La", "Gd", "Zn", "Zn"], "frac_coords": [[0.000, 0.000, 0.000], [0.000, 0.000, 0.500], [0.500, 0.500, 0.270], [0.500, 0.500, 0.730]], "total_energy_ev_per_atom": -5.71, "volume_a3_per_atom": 25.0}

---

# 2
{"formula": "La2GdZr", "functional": "PBE-GGA", "state": "relaxed", "cell": [[3.534, 0.000, 0.000], [0.000, 3.534, 0.000], [0.000, 0.000, 10.111]], "species": ["La", "La", "Gd", "Zr"], "frac_coords": [[0.000, 0.000, 0.232], [0.000, 0.000, 0.768], [0.500, 0.500, 0.500], [0.500, 0.500, 0.000]], "total_energy_ev_per_atom": -8.01, "volume_a3_per_atom": 31.6}

---

# 3
{"formula": "LaGdZr", "functional": "PBE-GGA", "state": "relaxed", "cell": [[3.414, 0.000, 0.000], [0.000, 3.414, 0.000], [0.000, 0.000, 15.426]], "species": ["La", "La", "Gd", "Gd", "Zr", "Zr"], "frac_coords": [[0.000, 0.000, 0.000], [0.500, 0.500, 0.500], [0.000, 0.000, 0.309], [0.500, 0.500, 0.809], [0.000, 0.000, 0.661], [0.500, 0.500, 0.161]], "total_energy_ev_per_atom": -9.08, "volume_a3_per_atom": 30.0}

---

# 4
{"formula": "LaGdZr", "functional": "PBE-GGA", "state": "relaxed", "cell": [[5.478, 0.000, 0.000], [-2.739, 4.744, 0.000], [0.000, 0.000, 3.393]], "species": ["La", "Gd", "Zr"], "frac_coords": [[0.000, 0.000, 0.000], [0.333, 0.667, 0.500], [0.667, 0.333, 0.000]], "total_energy_ev_per_atom": -9.02, "volume_a3_per_atom": 29.4}

---

# 5
{"formula": "LaGdZr2", "functional": "PBE-GGA", "state": "relaxed", "cell": [[4.733, 0.000, 0.000], [0.000, 4.733, 0.000], [0.000, 0.000, 4.938]], "species": ["La", "Gd", "Zr", "Zr"], "frac_coords": [[0.000, 0.000, 0.000], [0.500, 0.500, 0.000], [0.000, 0.500, 0.500], [0.500, 0.000, 0.500]], "total_energy_ev_per_atom": -8.85, "volume_a3_per_atom": 27.7}

---

# 6
{"formula": "La2GdZr", "functional": "PBE-GGA", "state": "relaxed", "cell": [[3.546, 0.000, 0.000], [-1.773, 3.071, 0.000], [0.000, 0.000, 34.417]], "species": ["La", "La", "La", "La", "La", "La", "Gd", "Gd", "Gd", "Zr", "Zr", "Zr"], "frac_coords": [[0.000, 0.000, 0.245], [0.000, 0.000, 0.755], [0.333, 0.667, 0.421], [0.333, 0.667, 0.912], [0.667, 0.333, 0.088], [0.667, 0.333, 0.579], [0.000, 0.000, 0.000], [0.333, 0.667, 0.667], [0.667, 0.333, 0.333], [0.000, 0.000, 0.500], [0.333, 0.667, 0.167], [0.667, 0.333, 0.833]], "total_energy_ev_per_atom": -7.99, "volume_a3_per_atom": 31.2}

---

# 7
{"formula": "La2GdZr", "functional": "PBE-GGA", "state": "relaxed", "cell": [[5.057, 0.000, 0.000], [0.000, 5.057, 0.000], [0.000, 0.000, 4.898]], "species": ["La", "La", "Gd", "Zr"], "frac_coords": [[0.000, 0.500, 0.000], [0.500, 0.000, 0.000], [0.000, 0.000, 0.500], [0.500, 0.500, 0.500]], "total_energy_ev_per_atom": -7.99, "volume_a3_per_atom": 31.3}

---

# 8
{"formula": "LiGd", "functional": "PBE-GGA", "state": "relaxed", "cell": [[3.659, 0.000, 0.000], [0.000, 3.661, 0.000], [-0.011, 0.000, 7.858]], "species": ["Li", "Li", "Gd", "Gd"], "frac_coords": [[0.249, 0.250, 0.084], [0.751, 0.750, 0.916], [0.251, 0.250, 0.647], [0.749, 0.750, 0.353]], "total_energy_ev_per_atom": -7.95, "volume_a3_per_atom": 26.3}

---

# 9
{"formula": "LiGd", "functional": "PBE-GGA", "state": "relaxed", "cell": [[3.723, 0.000, 0.000], [0.000, 3.723, 0.000], [0.000, 0.000, 3.723]], "species": ["Li", "Gd"], "frac_coords": [[0.000, 0.000, 0.000], [0.500, 0.500, 0.500]], "total_energy_ev_per_atom": -7.86, "volume_a3_per_atom": 25.8}

---

# 10
{"formula": "LiGd2Lu", "functional": "PBE-GGA", "state": "relaxed", "cell": [[3.646, 0.000, 0.000], [0.000, 3.646, 0.000], [0.000, 0.000, 8.598]], "species": ["Li", "Gd", "Gd", "Lu"], "frac_coords": [[0.000, 0.000, 0.000], [0.500, 0.500, 0.229], [0.500, 0.500, 0.771], [0.000, 0.000, 0.500]], "total_energy_ev_per_atom": -8.58, "volume_a3_per_atom": 28.6}

---

# 11
{"formula": "LiGdLu2", "functional": "PBE-GGA", "state": "relaxed", "cell": [[7.645, 0.000, 0.000], [0.000, 7.645, 0.000], [0.000, 0.000, 7.645]], "species": ["Li", "Li", "Li", "Li", "Gd", "Gd", "Gd", "Gd", "Lu", "Lu", "Lu", "Lu", "Lu", "Lu", "Lu", "Lu"], "frac_coords": [[0.000, 0.000, 0.000], [0.000, 0.500, 0.500], [0.500, 0.000, 0.500], [0.500, 0.500, 0.000], [0.000, 0.000, 0.500], [0.000, 0.500, 0.000], [0.500, 0.000, 0.000], [0.500, 0.500, 0.500], [0.250, 0.250, 0.250], [0.250, 0.250, 0.750], [0.250, 0.750, 0.250], [0.250, 0.750, 0.750], [0.750, 0.250, 0.250], [0.750, 0.250, 0.750], [0.750, 0.750, 0.250], [0.750, 0.750, 0.750]], "total_energy_ev_per_atom": -6.05, "volume_a3_per_atom": 27.9}

---

# 12
{"formula": "Li2GdLu", "functional": "PBE-GGA", "state": "relaxed", "cell": [[7.365, 0.000, 0.000], [0.000, 7.365, 0.000], [0.000, 0.000, 7.365]], "species": ["Li", "Li", "Li", "Li", "Li", "Li", "Li", "Li", "Gd", "Gd", "Gd", "Gd", "Lu", "Lu", "Lu", "Lu"], "frac_coords": [[0.250, 0.250, 0.250], [0.250, 0.250, 0.750], [0.250, 0.750, 0.250], [0.250, 0.750, 0.750], [0.750, 0.250, 0.250], [0.750, 0.250, 0.750], [0.750, 0.750, 0.250], [0.750, 0.750, 0.750], [0.000, 0.000, 0.000], [0.000, 0.500, 0.500], [0.500, 0.000, 0.500], [0.500, 0.500, 0.000], [0.000, 0.000, 0.500], [0.000, 0.500, 0.000], [0.500, 0.000, 0.000], [0.500, 0.500, 0.500]], "total_energy_ev_per_atom": -5.45, "volume_a3_per_atom": 25.0}